The following is a DFT calculation (PBE-GGA) of a relaxed Er4MgRu3 crystal.

Structure (POSCAR):
```
Er4MgRu3
1.0
4.822 0.000 0.000
0.000 4.822 0.000
0.000 0.000 7.054
Er Mg Ru
4 1 3
Direct
0.000 0.500 0.232
0.000 0.500 0.768
0.500 0.000 0.232
0.500 0.000 0.768
0.000 0.000 0.500
0.000 0.000 0.000
0.500 0.500 0.000
0.500 0.500 0.500
```

As for the space-group type: No. 123.

The following is a DFT calculation (PBE-GGA) of a relaxed Er5MgRu crystal.

Structure (POSCAR):
```
Er5MgRu
1.0
4.508 -3.738 0.000
4.508 3.738 0.000
-3.209 0.000 11.336
Er Mg Ru
10 2 2
Direct
0.024 0.976 0.750
0.088 0.410 0.622
0.204 0.542 0.931
0.410 0.088 0.122
0.458 0.796 0.569
0.542 0.204 0.431
0.590 0.912 0.878
0.796 0.458 0.069
0.912 0.590 0.378
0.976 0.024 0.250
0.385 0.615 0.250
0.615 0.385 0.750
0.000 0.000 0.000
0.000 0.000 0.500
```

As for the space-group type: No. 15.

The following is a DFT calculation (PBE-GGA) of a relaxed ErMgRu2 crystal.

Structure (POSCAR):
```
ErMgRu2
1.0
4.533 0.000 0.000
0.000 4.533 0.000
0.000 0.000 3.381
Er Mg Ru
1 1 2
Direct
0.000 0.000 0.000
0.500 0.500 0.000
0.000 0.500 0.500
0.500 0.000 0.500
```

As for the space-group type: No. 123.

The following is a DFT calculation (PBE-GGA) of a relaxed Er7MgRu4 crystal.

Structure (POSCAR):
```
Er7MgRu4
1.0
6.735 -2.674 0.000
6.735 2.674 0.000
-5.669 0.000 7.774
Er Mg Ru
7 1 4
Direct
0.000 0.000 0.000
0.179 0.179 0.630
0.284 0.284 0.123
0.424 0.424 0.626
0.576 0.576 0.374
0.716 0.716 0.877
0.821 0.821 0.370
0.500 0.500 0.000
0.065 0.065 0.780
0.197 0.197 0.345
0.803 0.803 0.655
0.935 0.935 0.220
```

As for the space-group type: No. 12.

The following is a DFT calculation (PBE-GGA) of a relaxed Er4Mg5Ru2 crystal.

Structure (POSCAR):
```
Er4Mg5Ru2
1.0
7.838 0.000 0.000
0.000 3.470 0.000
-0.532 0.000 9.881
Er Mg Ru
4 5 2
Direct
0.164 0.000 0.355
0.202 0.000 0.951
0.798 0.000 0.049
0.836 0.000 0.645
0.189 0.500 0.663
0.442 0.500 0.176
0.500 0.500 0.500
0.558 0.500 0.824
0.811 0.500 0.337
0.072 0.500 0.150
0.928 0.500 0.850
```

As for the space-group type: No. 10.

The following is a DFT calculation (PBE-GGA) of a relaxed ErMgRu crystal.

Structure (POSCAR):
```
ErMgRu
1.0
1.703 -7.414 0.000
1.703 7.414 0.000
0.000 0.000 4.745
Er Mg Ru
2 2 2
Direct
0.077 0.923 0.750
0.923 0.077 0.250
0.227 0.773 0.250
0.773 0.227 0.750
0.417 0.583 0.750
0.583 0.417 0.250
```

As for the space-group type: No. 63.

The following is a DFT calculation (PBE-GGA) of a relaxed Er6Mg2Ru crystal.

Structure (POSCAR):
```
Er6Mg2Ru
1.0
-2.749 4.275 5.391
2.749 -4.275 5.391
2.749 4.275 -5.391
Er Mg Ru
6 2 1
Direct
0.119 0.344 0.775
0.177 0.000 0.177
0.430 0.656 0.775
0.570 0.344 0.225
0.823 0.000 0.823
0.881 0.656 0.225
0.355 0.855 0.500
0.645 0.145 0.500
0.000 0.500 0.500
```

As for the space-group type: No. 71.

The following is a DFT calculation (PBE-GGA) of a relaxed Er5Mg4Ru crystal.

Structure (POSCAR):
```
Er5Mg4Ru
1.0
3.550 0.000 0.000
0.000 3.550 0.000
0.000 0.000 19.912
Er Mg Ru
5 4 1
Direct
0.000 0.000 0.000
0.000 0.000 0.206
0.000 0.000 0.420
0.000 0.000 0.580
0.000 0.000 0.794
0.500 0.500 0.103
0.500 0.500 0.310
0.500 0.500 0.690
0.500 0.500 0.897
0.500 0.500 0.500
```

As for the space-group type: No. 123.

The following is a DFT calculation (PBE-GGA) of a relaxed Er6MgRu crystal.

Structure (POSCAR):
```
Er6MgRu
1.0
6.823 0.000 0.000
-3.409 5.927 0.000
-3.394 -1.972 6.226
Er Mg Ru
6 1 1
Direct
0.052 0.080 0.256
0.285 0.704 0.255
0.323 0.528 0.744
0.677 0.472 0.256
0.715 0.296 0.745
0.948 0.920 0.744
0.500 0.000 0.000
0.500 0.500 0.500
```

As for the space-group type: No. 2.

The following is a DFT calculation (PBE-GGA) of a relaxed ErMgRu4 crystal.

Structure (POSCAR):
```
ErMgRu4
1.0
0.000 3.704 3.704
3.704 0.000 3.704
3.704 3.704 0.000
Er Mg Ru
1 1 4
Direct
0.000 0.000 0.000
0.750 0.750 0.750
0.375 0.375 0.375
0.375 0.375 0.874
0.375 0.874 0.375
0.874 0.375 0.375
```

As for the space-group type: No. 216.

The following is a DFT calculation (PBE-GGA) of a relaxed ErMg2Ru crystal.

Structure (POSCAR):
```
ErMg2Ru
1.0
15.268 0.000 0.000
0.000 8.378 0.000
0.000 0.000 5.294
Er Mg Ru
8 16 8
Direct
0.110 0.250 0.250
0.139 0.750 0.058
0.361 0.250 0.558
0.390 0.750 0.750
0.610 0.250 0.250
0.639 0.750 0.442
0.861 0.250 0.942
0.890 0.750 0.750
0.040 0.058 0.737
0.040 0.442 0.737
0.211 0.557 0.549
0.211 0.943 0.549
0.289 0.057 0.049
0.289 0.443 0.049
0.460 0.558 0.237
0.460 0.942 0.237
0.540 0.058 0.763
0.540 0.442 0.763
0.711 0.557 0.951
0.711 0.943 0.951
0.789 0.057 0.451
0.789 0.443 0.451
0.960 0.558 0.263
0.960 0.942 0.263
0.064 0.750 0.564
0.187 0.250 0.749
0.313 0.750 0.249
0.436 0.250 0.064
0.564 0.750 0.936
0.687 0.250 0.751
0.813 0.750 0.251
0.936 0.250 0.436
```

As for the space-group type: No. 62.

The following is a DFT calculation (PBE-GGA) of a relaxed ErMgScRu crystal.

Structure (POSCAR):
```
ErMgScRu
1.0
0.000 3.437 3.437
3.437 0.000 3.437
3.437 3.437 0.000
Er Mg Sc Ru
1 1 1 1
Direct
0.000 0.000 0.000
0.250 0.250 0.250
0.500 0.500 0.500
0.750 0.750 0.750
```

As for the space-group type: No. 216. The calculation puts the polymorph energy (0 for the lowest one) at 113 meV per atom.

no.,DOS at the Fermi energy (states/eV/f.u.),energy of formation from the pure elements (eV/atom)
1,3.0,-0.349
2,6.5,-0.077
3,6.3,-0.067
4,8.9,-0.107
5,8.3,-0.196
6,1.5,-0.270
7,7.0,0.107
8,7.9,-0.161
9,10.3,0.118
10,8.7,-0.112
11,2.4,-0.191
12,3.8,-0.247